No. 1
Entry from Alexandria: a relaxed YZrNpO6 crystal (GGA-PBE).

Cell and atoms, written as POSCAR:
```
YZrNpO6
1.0
-0.877 -0.458 5.549
5.086 -1.128 -2.152
2.511 9.131 1.150
Y Zr Np O
2 2 2 12
Cartesian
0.000 0.000 0.000
1.256 4.566 0.575
3.726 1.378 0.703
2.994 6.167 3.844
1.738 1.602 3.269
4.982 5.944 1.277
3.095 0.202 2.366
2.108 0.844 -0.581
1.301 5.641 2.657
4.612 6.702 5.128
2.382 2.777 1.590
4.240 2.590 -0.977
1.608 7.592 4.619
5.419 1.904 1.890
2.480 4.956 5.524
5.112 -0.046 -0.072
4.338 4.768 2.957
3.625 7.344 2.181
```

Properties
calculated total energy: -172.440 eV for the cell shown
N(E_F): 17.11 states/eV/cell
E_form (uncorrected): -3.169 eV per atom



No. 2
Entry from Alexandria: a relaxed La2SbTe crystal (GGA-PBE).

Cell and atoms, written as POSCAR:
```
La2SbTe
1.0
4.601 0.000 0.000
0.000 4.602 0.000
0.000 0.000 6.507
Sb Te La
1 1 2
Cartesian
0.000 0.000 2.440
2.301 2.301 5.692
0.000 0.000 5.694
2.301 2.301 2.440
```

Properties
calculated total energy: -23.017 eV for the cell shown
N(E_F): 1.61 states/eV/cell
E_form (uncorrected): -1.474 eV per atom



No. 3
Entry from Alexandria: a relaxed NbZn2IrO crystal (GGA-PBE).

Cell and atoms, written as POSCAR:
```
NbZn2IrO
1.0
-1.610 4.395 -1.999
0.242 -1.467 -3.419
-4.817 -1.606 0.349
Nb Ir Zn O
1 1 2 1
Cartesian
0.000 0.000 0.000
-3.093 0.661 -2.535
-2.408 -0.803 0.174
-0.805 2.197 -1.000
0.121 -0.733 -1.709
```

Properties
calculated total energy: -23.890 eV for the cell shown
N(E_F): 3.36 states/eV/cell
E_form (uncorrected): 0.509 eV per atom



No. 4
Entry from Alexandria: a relaxed LaNd2H6 crystal (GGA-PBE).

Cell and atoms, written as POSCAR:
```
LaNd2H6
1.0
3.818 0.000 -0.805
-0.170 3.815 -0.805
-0.148 -0.155 8.753
La Nd H
1 2 6
Cartesian
0.000 0.000 0.000
1.111 1.161 5.269
2.389 2.498 1.874
3.294 1.448 6.164
1.300 3.355 6.164
0.206 2.212 0.979
2.747 0.876 3.572
0.753 2.783 3.572
2.200 0.305 0.979
```

Properties
calculated total energy: -40.423 eV for the cell shown
N(E_F): 2.66 states/eV/cell